Record 1
Density functional theory data (PBE) for TbPm5Er2Th after structural relaxation.

Structure (POSCAR):
```
TbPm5Er2Th
1.0
2.8220 -10.2000 0.0000
2.8220 10.2000 0.0000
0.0000 0.0000 10.5812
Tb Pm Er Th
2 10 4 2
Cartesian
2.8220 8.3062 5.2906
2.8220 -8.3062 0.0000
2.8220 9.7901 8.3446
2.8220 7.9038 0.7531
2.8220 5.9884 7.9255
2.8220 5.6502 3.7801
2.8220 0.3007 0.6896
2.8220 -0.3007 5.9802
2.8220 -5.6502 9.0707
2.8220 -5.9884 2.6349
2.8220 -7.9038 6.0437
2.8220 -9.7901 3.0540
2.8220 2.3566 3.7938
2.8220 2.2868 8.2846
2.8220 -2.2868 2.9940
2.8220 -2.3566 9.0844
2.8220 4.0661 0.6016
2.8220 -4.0661 5.8922
```

Computed properties:
**Theoretical density**: 7.908 g/cm³
**E**: -4.834 eV per atom
**M_tot**: 0.00 μB per atom
**Energy relative to the elements**: 0.1578 eV/atom


Record 2
Density functional theory data (PBE) for Tb3PmEr6Th2 after structural relaxation.

Structure (POSCAR):
```
Tb3PmEr6Th2
1.0
3.0794 -5.3298 0.0000
3.0794 5.3298 0.0000
-2.0550 0.0000 11.4885
Tb Pm Er Th
3 1 6 2
Cartesian
0.0000 0.0000 0.0000
3.0794 1.7727 0.0000
3.0794 -1.7727 0.0000
2.0519 0.0000 5.7442
1.0090 1.8006 2.8926
-0.0275 0.0000 8.5987
1.0090 -1.8006 2.8926
3.0948 1.8006 8.5959
4.1313 0.0000 2.8898
3.0948 -1.8006 8.5959
2.0519 3.5529 5.7442
2.0519 -3.5529 5.7442
```

Computed properties:
**Theoretical density**: 9.200 g/cm³
**E**: -5.044 eV per atom
**M_tot**: 0.00 μB per atom
**Energy relative to the elements**: 0.0273 eV/atom


Copy entry 2 word for word.
Density functional theory data (PBE) for Tb3PmEr6Th2 after structural relaxation.

Structure (POSCAR):
```
Tb3PmEr6Th2
1.0
3.0794 -5.3298 0.0000
3.0794 5.3298 0.0000
-2.0550 0.0000 11.4885
Tb Pm Er Th
3 1 6 2
Cartesian
0.0000 0.0000 0.0000
3.0794 1.7727 0.0000
3.0794 -1.7727 0.0000
2.0519 0.0000 5.7442
1.0090 1.8006 2.8926
-0.0275 0.0000 8.5987
1.0090 -1.8006 2.8926
3.0948 1.8006 8.5959
4.1313 0.0000 2.8898
3.0948 -1.8006 8.5959
2.0519 3.5529 5.7442
2.0519 -3.5529 5.7442
```

Computed properties:
**Theoretical density**: 9.200 g/cm³
**E**: -5.044 eV per atom
**M_tot**: 0.00 μB per atom
**Energy relative to the elements**: 0.0273 eV/atom